Record 1
# Dy5Er4 PBE relaxed
data_Dy5Er4
_chemical_formula_sum 'Dy10 Er8'
_cell_length_a 11.668
_cell_length_b 10.560
_cell_length_c 4.966
_cell_angle_alpha 90.00
_cell_angle_beta 115.11
_cell_angle_gamma 90.00
_space_group_name_H-M_alt 'C 1 2/m 1'
_space_group_IT_number 12
_space_group_name_Hall '-C 2y'
loop_
_atom_site_label
_atom_site_type_symbol
_atom_site_fract_x
_atom_site_fract_y
_atom_site_fract_z
Dy1 Dy 0.000 0.000 0.000
Dy2 Dy 0.000 0.333 0.000
Dy3 Dy 0.167 0.500 0.667
Er1 Er 0.167 0.167 0.667
# - calculated formation energy (eV per atom) = 0.021
# - relative energy among the computed polymorphs (meV per atom) = 0
# - Fermi-level density of states (states/eV per cell) = 25.507

=====

Record 2
# Dy3Er PBE relaxed
data_Dy3Er
_chemical_formula_sum 'Dy3 Er1'
_cell_length_a 3.607
_cell_length_b 5.590
_cell_length_c 6.247
_cell_angle_alpha 90.00
_cell_angle_beta 90.00
_cell_angle_gamma 90.00
_space_group_name_H-M_alt 'P m m 2'
_space_group_IT_number 25
_space_group_name_Hall 'P 2 -2'
loop_
_atom_site_label
_atom_site_type_symbol
_atom_site_fract_x
_atom_site_fract_y
_atom_site_fract_z
Dy1 Dy 0.000 0.000 0.000
Dy2 Dy 0.000 0.500 0.334
Dy3 Dy 0.500 0.500 0.834
Er1 Er 0.500 0.000 0.501
# - calculated formation energy (eV per atom) = 0.005
# - relative energy among the computed polymorphs (meV per atom) = 0
# - Fermi-level density of states (states/eV per cell) = 6.257

=====

Record 3
# Dy7Er6 PBE relaxed
data_Dy7Er6
_chemical_formula_sum 'Dy21 Er18'
_cell_length_a 6.4666
_cell_length_b 6.4666
_cell_length_c 34.7017
_cell_angle_alpha 90.00
_cell_angle_beta 90.00
_cell_angle_gamma 120.00
_space_group_name_H-M_alt 'R -3 m'
_space_group_IT_number 166
_space_group_name_Hall '-R 3 2"'
loop_
_atom_site_label
_atom_site_type_symbol
_atom_site_fract_x
_atom_site_fract_y
_atom_site_fract_z
Dy1 Dy 0.0000 0.0000 0.0000
Dy2 Dy 0.0051 0.5026 0.4111
Er1 Er 0.0000 0.0000 0.1670
Er2 Er 0.0000 0.0000 0.3525
Er3 Er 0.0000 0.0000 0.4539
# - calculated formation energy (eV per atom) = 0.263
# - Fermi-level density of states (states/eV per cell) = 81.576

=====

Record 4
# Dy3Er13 PBE relaxed
data_Dy3Er13
_chemical_formula_sum 'Dy6 Er26'
_cell_length_a 7.176
_cell_length_b 11.100
_cell_length_c 12.417
_cell_angle_alpha 90.00
_cell_angle_beta 90.00
_cell_angle_gamma 90.00
_space_group_name_H-M_alt 'A m m 2'
_space_group_IT_number 38
_space_group_name_Hall 'A 2 -2'
loop_
_atom_site_label
_atom_site_type_symbol
_atom_site_fract_x
_atom_site_fract_y
_atom_site_fract_z
Dy1 Dy 0.000 0.000 0.000
Dy2 Dy 0.250 0.000 0.749
Er1 Er 0.000 0.000 0.499
Er2 Er 0.000 0.250 0.166
Er3 Er 0.250 0.000 0.250
Er4 Er 0.250 0.249 0.416
Er5 Er 0.500 0.000 0.000
Er6 Er 0.500 0.000 0.499
Er7 Er 0.500 0.249 0.166
# - calculated formation energy (eV per atom) = 0.000
# - relative energy among the computed polymorphs (meV per atom) = 0
# - Fermi-level density of states (states/eV per cell) = 55.568

=====

Record 5
# Dy8Er3 PBE relaxed
data_Dy8Er3
_chemical_formula_sum 'Dy24 Er9'
_cell_length_a 9.5387
_cell_length_b 9.5387
_cell_length_c 13.5210
_cell_angle_alpha 90.00
_cell_angle_beta 90.00
_cell_angle_gamma 120.00
_space_group_name_H-M_alt 'R -3'
_space_group_IT_number 148
_space_group_name_Hall '-R 3'
loop_
_atom_site_label
_atom_site_type_symbol
_atom_site_fract_x
_atom_site_fract_y
_atom_site_fract_z
Dy1 Dy 0.0000 0.0000 0.1131
Dy2 Dy 0.0414 0.8090 0.6129
Er1 Er 0.0000 0.5000 0.5000
# - calculated formation energy (eV per atom) = 0.562
# - relative energy among the computed polymorphs (meV per atom) = 159
# - Fermi-level density of states (states/eV per cell) = 34.235

=====

Record 6
# Dy8Er PBE relaxed
data_Dy8Er
_chemical_formula_sum 'Dy16 Er2'
_cell_length_a 10.597
_cell_length_b 10.597
_cell_length_c 4.985
_cell_angle_alpha 90.00
_cell_angle_beta 90.00
_cell_angle_gamma 90.00
_space_group_name_H-M_alt 'I 4/m m m'
_space_group_IT_number 139
_space_group_name_Hall '-I 4 2'
loop_
_atom_site_label
_atom_site_type_symbol
_atom_site_fract_x
_atom_site_fract_y
_atom_site_fract_z
Dy1 Dy 0.000 0.333 0.000
Dy2 Dy 0.166 0.166 0.500
Er1 Er 0.000 0.000 0.000
# - calculated formation energy (eV per atom) = 0.019
# - Fermi-level density of states (states/eV per cell) = 25.369

=====

Record 7
# Dy3Er PBE relaxed
data_Dy3Er
_chemical_formula_sum 'Dy6 Er2'
_cell_length_a 4.982
_cell_length_b 4.982
_cell_length_c 9.974
_cell_angle_alpha 90.00
_cell_angle_beta 90.00
_cell_angle_gamma 90.00
_space_group_name_H-M_alt 'I 4/m m m'
_space_group_IT_number 139
_space_group_name_Hall '-I 4 2'
loop_
_atom_site_label
_atom_site_type_symbol
_atom_site_fract_x
_atom_site_fract_y
_atom_site_fract_z
Dy1 Dy 0.000 0.000 0.000
Dy2 Dy 0.000 0.500 0.250
Er1 Er 0.000 0.000 0.500
# - calculated formation energy (eV per atom) = 0.020
# - relative energy among the computed polymorphs (meV per atom) = 14
# - Fermi-level density of states (states/eV per cell) = 11.276

=====

Record 8
# Dy2Er PBE relaxed
data_Dy2Er
_chemical_formula_sum 'Dy8 Er4'
_cell_length_a 10.797
_cell_length_b 6.233
_cell_length_c 6.655
_cell_angle_alpha 90.00
_cell_angle_beta 122.76
_cell_angle_gamma 90.00
_space_group_name_H-M_alt 'C 1 2/c 1'
_space_group_IT_number 15
_space_group_name_Hall '-C 2yc'
loop_
_atom_site_label
_atom_site_type_symbol
_atom_site_fract_x
_atom_site_fract_y
_atom_site_fract_z
Dy1 Dy 0.167 0.084 0.250
Er1 Er 0.000 0.417 0.750
# - calculated formation energy (eV per atom) = 0.005
# - relative energy among the computed polymorphs (meV per atom) = 0
# - Fermi-level density of states (states/eV per cell) = 20.692

=====

Record 9
# Dy8Er3 PBE relaxed
data_Dy8Er3
_chemical_formula_sum 'Dy24 Er9'
_cell_length_a 12.2971
_cell_length_b 12.2971
_cell_length_c 8.4157
_cell_angle_alpha 90.00
_cell_angle_beta 90.00
_cell_angle_gamma 120.00
_space_group_name_H-M_alt 'R -3'
_space_group_IT_number 148
_space_group_name_Hall '-R 3'
loop_
_atom_site_label
_atom_site_type_symbol
_atom_site_fract_x
_atom_site_fract_y
_atom_site_fract_z
Dy1 Dy 0.0000 0.0000 0.2488
Dy2 Dy 0.0566 0.4534 0.1342
Er1 Er 0.0000 0.5000 0.5000
# - calculated formation energy (eV per atom) = 0.403
# - relative energy among the computed polymorphs (meV per atom) = 0
# - Fermi-level density of states (states/eV per cell) = 40.037

=====

Record 10
# Dy3Er PBE relaxed
data_Dy3Er
_chemical_formula_sum 'Dy3 Er1'
_cell_length_a 4.987
_cell_length_b 4.987
_cell_length_c 4.987
_cell_angle_alpha 90.00
_cell_angle_beta 90.00
_cell_angle_gamma 90.00
_space_group_name_H-M_alt 'P m -3 m'
_space_group_IT_number 221
_space_group_name_Hall '-P 4 2 3'
loop_
_atom_site_label
_atom_site_type_symbol
_atom_site_fract_x
_atom_site_fract_y
_atom_site_fract_z
Dy1 Dy 0.000 0.000 0.500
Er1 Er 0.500 0.500 0.500
# - calculated formation energy (eV per atom) = 0.021
# - relative energy among the computed polymorphs (meV per atom) = 16
# - Fermi-level density of states (states/eV per cell) = 5.866

=====

Record 11
# DyEr4 PBE relaxed
data_DyEr4
_chemical_formula_sum 'Dy2 Er8'
_cell_length_a 4.439
_cell_length_b 4.439
_cell_length_c 16.571
_cell_angle_alpha 90.00
_cell_angle_beta 90.00
_cell_angle_gamma 90.00
_space_group_name_H-M_alt 'I 4/m m m'
_space_group_IT_number 139
_space_group_name_Hall '-I 4 2'
loop_
_atom_site_label
_atom_site_type_symbol
_atom_site_fract_x
_atom_site_fract_y
_atom_site_fract_z
Dy1 Dy 0.000 0.000 0.000
Er1 Er 0.000 0.000 0.406
Er2 Er 0.000 0.500 0.250
# - calculated formation energy (eV per atom) = 0.376
# - relative energy among the computed polymorphs (meV per atom) = 352
# - Fermi-level density of states (states/eV per cell) = 15.484

=====

Record 12
# Dy3Er7 PBE relaxed
data_Dy3Er7
_chemical_formula_sum 'Dy6 Er14'
_cell_length_a 17.882
_cell_length_b 4.950
_cell_length_c 7.031
_cell_angle_alpha 90.00
_cell_angle_beta 101.30
_cell_angle_gamma 90.00
_space_group_name_H-M_alt 'C 1 2/m 1'
_space_group_IT_number 12
_space_group_name_Hall '-C 2y'
loop_
_atom_site_label
_atom_site_type_symbol
_atom_site_fract_x
_atom_site_fract_y
_atom_site_fract_z
Dy1 Dy 0.000 0.000 0.000
Dy2 Dy 0.200 0.000 0.600
Er1 Er 0.000 0.000 0.500
Er2 Er 0.100 0.500 0.299
Er3 Er 0.100 0.500 0.800
Er4 Er 0.200 0.000 0.100
# - calculated formation energy (eV per atom) = 0.018
# - relative energy among the computed polymorphs (meV per atom) = 0
# - Fermi-level density of states (states/eV per cell) = 24.226

=====

What total magnetic moment values result from the calculations? In sequence: 0.00, 0.00, 0.27, 0.00, 0.00, 0.00, 0.00, 0.00, 0.01, 0.00, 0.58, 0.00 μB per formula unit.